[1]
The following is a DFT calculation (PBE) of crystalline La2CrNi3As4 at its relaxed geometry.

```
10
Lattice="-2.1515 -1.3680 -3.4308 0.3967 -4.0330 1.3593 -8.3941 0.8362 4.9306" Properties=species:S:1:pos:R:3 pbc="T T T"
Ni -0.7499 -1.9221 1.2366
Ni -8.5216 0.0578 2.6582
Ni -4.1970 0.4181 2.4653
La -6.1629 -1.3828 4.4162
La -3.1086 -0.4815 -0.5213
As -6.4218 -0.1514 1.4248
As 0.0000 0.0000 0.0000
As -0.8774 -2.7005 -1.0357
As -2.8496 -1.7129 2.4700
Cr -5.0744 -2.2824 1.4296
```

**Total moment**: 3.43 μB/cell
**Energy**: -6.337 eV/atom
**Crystal system**: tetragonal
**Symmetry**: P-4m2 (115)
**Energy of formation**: -0.795 eV per atom
**Density of states at the Fermi level**: 3.956 states/eV per cell



[2]
The following is a DFT calculation (PBE) of crystalline Th3MnB2Rh9 at its relaxed geometry.

```
15
Lattice="5.9086 0.0000 0.0000 -2.9543 5.1170 0.0000 0.0000 0.0000 8.3563" Properties=species:S:1:pos:R:3 pbc="T T T"
Rh 2.9543 0.0000 0.0000
Rh 1.4771 2.5585 0.0000
Rh -1.4771 2.5585 0.0000
Rh -1.4695 4.2597 2.4400
Rh 1.4848 0.8572 5.9163
Rh 1.4695 4.2597 2.4400
Rh 4.4238 0.8572 5.9163
Rh 0.0000 1.7145 2.4400
Rh 2.9543 3.4025 5.9163
B 0.0000 3.4113 1.2418
B 2.9543 1.7057 7.1145
Th 0.0000 0.0000 0.0000
Th 2.9543 1.7057 2.9044
Th 0.0000 3.4113 5.4518
Mn 0.0000 0.0000 4.1781
```

**Total moment**: 3.02 μB/cell
**Energy**: -8.075 eV/atom
**Crystal system**: trigonal
**Symmetry**: P-3m1 (164)
**Energy of formation**: -0.679 eV per atom
**Density of states at the Fermi level**: 9.811 states/eV per cell



[3]
The following is a DFT calculation (PBE) of crystalline Ac6Pt2Rh3Br at its relaxed geometry.

```
12
Lattice="4.3278 0.0000 0.0000 0.0000 8.9629 0.1985 -2.1639 -2.7106 9.2621" Properties=species:S:1:pos:R:3 pbc="T T T"
Ac 2.1639 -0.2062 9.2603
Ac 0.0000 6.4837 6.1486
Ac 0.0000 1.9285 6.2453
Ac 2.1639 4.3238 3.2152
Ac 2.1639 -0.2313 3.3119
Ac 0.0000 6.4586 0.2003
Pt 0.0000 2.0365 3.1009
Pt 2.1639 4.2159 6.3596
Br 2.1639 0.0000 0.0000
Rh 2.1639 -0.2957 6.2955
Rh 0.0000 6.5481 3.1650
Rh 2.1639 4.4815 0.0992
```

**Total moment**: 0.00 μB/cell
**Energy**: -5.994 eV/atom
**Crystal system**: monoclinic
**Symmetry**: C2/m (12)
**Formation energy (no corrections)**: -0.956 eV/atom
**Density of states at the Fermi level**: 4.586 states/eV per cell



[4]
The following is a DFT calculation (PBE) of crystalline LiSc5Hg6 at its relaxed geometry.

```
12
Lattice="-2.7352 -3.5773 -2.0022 3.4992 -4.7767 3.7541 -6.3337 -1.1379 4.4560" Properties=species:S:1:pos:R:3 pbc="T T T"
Hg -2.0693 -4.9590 5.5056
Hg -1.7153 -6.9697 2.6173
Hg -3.8544 -2.5223 3.5906
Hg -3.5004 -4.5329 0.7022
Hg -5.0599 -6.5322 6.2886
Hg -0.5098 -2.9597 -0.0808
Sc -4.2895 -5.5344 3.5033
Sc 1.7496 -2.3883 1.8770
Sc -6.0612 -3.1443 1.6491
Sc -3.0077 -1.5709 0.8047
Sc -1.2802 -3.9576 2.7045
Li 0.0000 0.0000 0.0000
```

**Total moment**: 0.22 μB/cell
**Energy**: -3.365 eV/atom
**Crystal system**: monoclinic
**Symmetry**: P2/m (10)
**Energy of formation**: -0.417 eV per atom
**Density of states at the Fermi level**: 10.408 states/eV per cell



[5]
The following is a DFT calculation (PBE) of crystalline LiNiPS2 at its relaxed geometry.

```
5
Lattice="-3.5352 -2.5858 0.0086 2.5856 -3.5350 -0.0548 0.0374 -0.0373 4.1700" Properties=species:S:1:pos:R:3 pbc="T T T"
S 1.2928 -1.7675 -0.0274
S -1.7676 -1.2929 0.0043
Ni -0.4561 -3.0790 2.0619
Li 0.0000 0.0000 0.0000
P 0.0187 -0.0186 2.0850
```

**Total moment**: 0.58 μB/cell
**Excess energy over the best structure of this formula in the dataset**: 749 meV per atom
**Energy**: -3.413 eV/atom
**Crystal system**: tetragonal
**Symmetry**: P4/mmm (123)
**Formation energy (no corrections)**: 0.858 eV/atom
**Density of states at the Fermi level**: 4.297 states/eV per cell



[6]
The following is a DFT calculation (PBE) of crystalline BaSr2LaAg at its relaxed geometry.

```
5
Lattice="-1.7904 -1.2315 -5.9330 5.8688 -1.8919 -1.3784 -1.4329 -5.6078 1.5964" Properties=species:S:1:pos:R:3 pbc="T T T"
Ba 1.3228 -4.3656 -2.8575
Sr 2.9344 -0.9460 -0.6892
Sr -0.8952 -0.6157 -2.9665
Ag 0.0000 0.0000 0.0000
La -0.7164 -2.8039 0.7982
```

**Total moment**: 0.00 μB/cell
**Excess energy over the best structure of this formula in the dataset**: 0 meV per atom
**Energy**: -2.598 eV/atom
**Crystal system**: tetragonal
**Symmetry**: P4/mmm (123)
**Energy of formation**: 0.015 eV per atom
**Density of states at the Fermi level**: 6.466 states/eV per cell



[7]
The following is a DFT calculation (PBE) of crystalline LiDyHg4 at its relaxed geometry.

```
6
Lattice="4.6844 0.0010 0.0009 0.0008 4.6852 0.0024 0.0068 0.0117 7.0954" Properties=species:S:1:pos:R:3 pbc="T T T"
Hg 0.0132 2.3381 5.0702
Hg 2.3512 4.6724 2.0024
Hg 0.0069 2.3344 2.0010
Hg 2.3533 4.6840 5.0722
Li 0.0100 4.6790 3.5377
Dy 2.3558 2.3412 7.0836
```

**Total moment**: 0.00 μB/cell
**Excess energy over the best structure of this formula in the dataset**: 156 meV per atom
**Energy**: -1.450 eV/atom
**Crystal system**: monoclinic
**Symmetry**: C2/m (12)
**Energy of formation**: -0.162 eV per atom
**Density of states at the Fermi level**: 3.438 states/eV per cell



[8]
The following is a DFT calculation (PBE) of crystalline Ho4Hg5Pd2 at its relaxed geometry.

```
11
Lattice="3.5627 0.0000 0.0000 0.0000 7.6394 0.0393 0.0000 -0.6880 9.6182" Properties=species:S:1:pos:R:3 pbc="T T T"
Ho 1.7813 6.1676 1.4231
Ho 1.7813 0.7838 8.2343
Ho 1.7813 1.4758 4.2131
Ho 1.7813 5.4757 5.4443
Hg 0.0000 1.1957 1.3772
Hg 0.0000 2.9943 6.4923
Hg 0.0000 3.8197 0.0197
Hg 0.0000 5.7558 8.2803
Hg 0.0000 3.9572 3.1652
Pd 0.0000 6.8486 3.5357
Pd 0.0000 0.1029 6.1218
```

**Total moment**: 0.00 μB/cell
**Energy**: -3.329 eV/atom
**Crystal system**: monoclinic
**Symmetry**: P2/m (10)
**Energy of formation**: -0.583 eV per atom
**Density of states at the Fermi level**: 7.068 states/eV per cell



[9]
The following is a DFT calculation (PBE) of crystalline Sm8Tl2Hg at its relaxed geometry.

```
11
Lattice="-1.6363 2.5108 4.3802 -3.8423 -5.5223 1.7301 9.3763 -2.9317 1.9679" Properties=species:S:1:pos:R:3 pbc="T T T"
Tl 0.2006 -4.7562 2.8013
Tl 3.6970 -1.1870 5.2769
Sm -1.0551 -1.6593 3.7724
Sm 5.8082 -1.2188 2.8684
Sm -2.7022 -4.2698 1.4380
Sm 2.3085 -2.4459 2.2645
Sm 6.5999 -1.6734 6.6402
Sm -1.9105 -4.7244 5.2098
Sm 1.5891 -3.4973 5.8138
Sm 4.9528 -4.2839 4.3058
Hg -0.8182 1.2554 2.1901
```

**Total moment**: 0.00 μB/cell
**Excess energy over the best structure of this formula in the dataset**: 30 meV per atom
**Energy**: -4.067 eV/atom
**Crystal system**: monoclinic
**Symmetry**: C2/m (12)
**Energy of formation**: -0.177 eV per atom
**Density of states at the Fermi level**: 13.567 states/eV per cell



[10]
The following is a DFT calculation (PBE) of crystalline LaTaIr2Pb at its relaxed geometry.

```
5
Lattice="5.0471 0.0000 0.0000 0.0000 5.1766 0.0000 0.0000 0.0000 5.0471" Properties=species:S:1:pos:R:3 pbc="T T T"
La 2.5236 2.5883 2.5236
Ir 2.5236 0.0000 0.0000
Ir 0.0000 0.0000 2.5236
Pb 0.0000 0.0000 0.0000
Ta 0.0000 2.5883 0.0000
```

**Total moment**: 2.56 μB/cell
**Energy**: -6.290 eV/atom
**Crystal system**: tetragonal
**Symmetry**: P4/mmm (123)
**Energy of formation**: 1.352 eV per atom
**Density of states at the Fermi level**: 7.227 states/eV per cell



[11]
The following is a DFT calculation (PBE) of crystalline CsTiTeO5 at its relaxed geometry.

```
16
Lattice="-1.4595 -2.3356 -5.7113 6.0954 1.7077 -0.3651 0.0126 -6.0099 4.5276" Properties=species:S:1:pos:R:3 pbc="T T T"
O 5.1215 -2.7114 0.8385
O 0.3438 -2.2601 -4.8018
O -0.4730 -3.9264 -2.3873
O 0.6316 -1.0774 -1.7665
O -1.1515 -6.6833 -2.1043
O 5.8000 0.0455 0.5555
O 1.9752 -3.3666 1.4437
O 4.0169 -5.5604 0.2177
O 4.3047 -4.3777 3.2530
O 2.6733 -3.2712 -2.9925
Te 3.8220 -4.0215 1.4151
Te 0.8266 -2.6163 -2.9639
Cs 3.5671 -1.1496 -1.0246
Cs 1.0814 -5.4882 -0.5242
Ti 0.0000 0.0000 0.0000
Ti 0.0063 -3.0050 2.2638
```

**Total moment**: 0.00 μB/cell
**Energy**: -6.273 eV/atom
**Crystal system**: monoclinic
**Symmetry**: C2/c (15)
**Formation energy (no corrections)**: -1.687 eV/atom
**Density of states at the Fermi level**: 4.410 states/eV per cell



[12]
The following is a DFT calculation (PBE) of crystalline FeCoAs2 at its relaxed geometry.

```
4
Lattice="4.0050 0.0155 0.0143 2.9331 2.7271 0.0143 1.0821 0.4278 4.9592" Properties=species:S:1:pos:R:3 pbc="T T T"
Fe 2.0051 0.7926 1.2470
As 0.0039 0.0015 0.0116
As 4.0062 1.5837 2.4824
Co 6.0152 2.3778 3.7409
```

**Total moment**: 2.15 μB/cell
**Excess energy over the best structure of this formula in the dataset**: 154 meV per atom
**Energy**: -6.132 eV/atom
**Crystal system**: monoclinic
**Symmetry**: C2/m (12)
**Energy of formation**: 0.085 eV per atom
**Density of states at the Fermi level**: 3.915 states/eV per cell